No. 1
Density functional theory data (PBE) for crystalline CaMnCo at its relaxed geometry. Values from VASP.

```
&SYSTEM
  ibrav = 0, nat = 3, ntyp = 3
/
ATOMIC_SPECIES
Ca 40.08 Ca.upf
Mn 54.94 Mn.upf
Co 58.93 Co.upf
CELL_PARAMETERS angstrom
-1.6004 1.6004 5.2796
1.6004 -1.6004 5.2796
1.6004 1.6004 -5.2796
ATOMIC_POSITIONS angstrom
Ca 0.0000 0.0000 0.0000
Mn 0.0000 0.0000 2.9941
Co 0.0000 0.0000 7.3799
```

Summary:
- E_form: 292 meV/atom
- Relative energy among the computed polymorphs: 2.229 kcal/mol of atoms
- Magnetic moment: 4.2 μB per formula unit



No. 2
Density functional theory data (PBE) for crystalline LaSm6Er3 at its relaxed geometry. Values from VASP.

```
&SYSTEM
  ibrav = 0, nat = 10, ntyp = 3
/
ATOMIC_SPECIES
La 138.91 La.upf
Sm 150.36 Sm.upf
Er 167.26 Er.upf
CELL_PARAMETERS angstrom
4.9545 2.8605 3.9853
-4.9545 2.8605 3.9853
0.0000 -5.7209 3.9853
ATOMIC_POSITIONS angstrom
La 0.0000 0.0000 0.0000
Sm -1.6397 -2.8728 3.9896
Sm -3.2485 -0.0040 5.9837
Sm -1.6680 2.8564 3.9896
Sm 1.6277 -2.8113 5.9837
Sm 3.3077 0.0164 3.9896
Sm 1.6208 2.8153 5.9837
Er 0.0000 0.0000 3.0334
Er 0.0000 0.0000 5.9704
Er 0.0000 0.0000 8.9030
```

Summary:
- E_form: 247 meV/atom
- Magnetic moment: 0.0 μB per formula unit



No. 3
Density functional theory data (PBE) for crystalline CaPAu at its relaxed geometry. Values from VASP.

```
&SYSTEM
  ibrav = 0, nat = 12, ntyp = 3
/
ATOMIC_SPECIES
Ca 40.08 Ca.upf
P 30.97 P.upf
Au 196.97 Au.upf
CELL_PARAMETERS angstrom
7.7470 0.0000 0.0000
0.0000 5.6873 0.0000
0.0000 0.0000 6.3344
ATOMIC_POSITIONS angstrom
Ca 1.3205 1.4218 0.8516
Ca 2.5530 4.2655 4.0188
Ca 5.1941 1.4218 2.3157
Ca 6.4265 4.2655 5.4829
P 1.4688 4.2655 0.3028
P 2.4047 1.4218 3.4700
P 5.3424 4.2655 2.8644
P 6.2782 1.4218 6.0316
Au 0.1802 1.4218 4.2883
Au 3.6934 4.2655 1.1211
Au 4.0537 1.4218 5.2133
Au 7.5669 4.2655 2.0461
```

Summary:
- E_form: -790 meV/atom
- Magnetic moment: 0.0 μB per formula unit



No. 4
Density functional theory data (PBE) for crystalline PrDy6Y2 at its relaxed geometry. Values from VASP.

```
&SYSTEM
  ibrav = 0, nat = 9, ntyp = 3
/
ATOMIC_SPECIES
Pr 140.91 Pr.upf
Dy 162.50 Dy.upf
Y 88.91 Y.upf
CELL_PARAMETERS angstrom
5.7885 -1.7299 0.0000
5.7885 1.7299 0.0000
-2.9451 0.0000 15.0019
ATOMIC_POSITIONS angstrom
Pr 0.0000 0.0000 0.0000
Dy -0.2157 0.0000 3.4905
Dy 3.0998 0.0000 1.5765
Dy 2.6645 0.0000 8.4377
Dy 5.9673 0.0000 6.5642
Dy 5.5320 0.0000 13.4254
Dy 8.8475 0.0000 11.5113
Y 2.8712 0.0000 5.0101
Y 5.7606 0.0000 9.9917
```

Summary:
- E_form: 198 meV/atom
- Relative energy among the computed polymorphs: 0.000 kcal/mol of atoms
- Magnetic moment: 0.0 μB per formula unit



No. 5
Density functional theory data (PBE) for crystalline MgIr2Rh at its relaxed geometry. Values from VASP.

```
&SYSTEM
  ibrav = 0, nat = 4, ntyp = 3
/
ATOMIC_SPECIES
Mg 24.30 Mg.upf
Ir 192.22 Ir.upf
Rh 102.91 Rh.upf
CELL_PARAMETERS angstrom
-1.4057 2.2863 4.7691
1.4057 -2.2863 4.7691
1.4057 2.2863 -4.7691
ATOMIC_POSITIONS angstrom
Mg 0.0000 0.0000 0.0000
Ir 0.0000 0.0000 4.8001
Ir 0.0000 2.2863 2.2240
Rh 1.4057 0.0000 2.5505
```

Summary:
- E_form: -31 meV/atom
- Magnetic moment: 0.0 μB per formula unit



No. 6
Density functional theory data (PBE) for crystalline Bi3PRu at its relaxed geometry. Values from VASP.

```
&SYSTEM
  ibrav = 0, nat = 5, ntyp = 3
/
ATOMIC_SPECIES
Bi 208.98 Bi.upf
P 30.97 P.upf
Ru 101.07 Ru.upf
CELL_PARAMETERS angstrom
5.3034 0.0000 0.0000
0.0000 5.3034 0.0000
0.0000 0.0000 5.3034
ATOMIC_POSITIONS angstrom
Bi 0.0000 0.0000 2.6517
Bi 0.0000 2.6517 0.0000
Bi 2.6517 0.0000 0.0000
P 0.0000 0.0000 0.0000
Ru 2.6517 2.6517 2.6517
```

Summary:
- E_form: 1184 meV/atom
- Relative energy among the computed polymorphs: 11.009 kcal/mol of atoms
- Magnetic moment: 2.0 μB per formula unit



No. 7
Density functional theory data (PBE) for crystalline Ca2Mn2V at its relaxed geometry. Values from VASP.

```
&SYSTEM
  ibrav = 0, nat = 10, ntyp = 3
/
ATOMIC_SPECIES
Ca 40.08 Ca.upf
Mn 54.94 Mn.upf
V 50.94 V.upf
CELL_PARAMETERS angstrom
6.5849 0.0000 0.0000
0.0000 6.5849 0.0000
0.0000 0.0000 5.1029
ATOMIC_POSITIONS angstrom
Ca 1.1866 2.1058 0.0000
Ca 2.1058 5.3983 0.0000
Ca 4.4791 1.1866 0.0000
Ca 5.3983 4.4791 0.0000
Mn 0.9365 4.2289 2.5514
Mn 2.3559 0.9365 2.5514
Mn 4.2289 5.6484 2.5514
Mn 5.6484 2.3559 2.5514
V 0.0000 0.0000 2.5514
V 3.2924 3.2924 2.5514
```

Summary:
- E_form: 487 meV/atom
- Relative energy among the computed polymorphs: 0.000 kcal/mol of atoms
- Magnetic moment: 3.2 μB per formula unit



No. 8
Density functional theory data (PBE) for crystalline La2ThNi at its relaxed geometry. Values from VASP.

```
&SYSTEM
  ibrav = 0, nat = 4, ntyp = 3
/
ATOMIC_SPECIES
La 138.91 La.upf
Th 232.04 Th.upf
Ni 58.69 Ni.upf
CELL_PARAMETERS angstrom
1.8268 1.0547 10.6721
-1.8268 1.0547 10.6721
0.0000 -2.1094 10.6721
ATOMIC_POSITIONS angstrom
La 0.0000 0.0000 3.4998
La 0.0000 0.0000 28.5165
Th 0.0000 0.0000 0.0000
Ni 0.0000 0.0000 16.0082
```

Summary:
- E_form: 140 meV/atom
- Relative energy among the computed polymorphs: 5.015 kcal/mol of atoms
- Magnetic moment: 0.0 μB per formula unit



No. 9
Density functional theory data (PBE) for crystalline Ge3PBr at its relaxed geometry. Values from VASP.

```
&SYSTEM
  ibrav = 0, nat = 5, ntyp = 3
/
ATOMIC_SPECIES
Ge 72.64 Ge.upf
P 30.97 P.upf
Br 79.90 Br.upf
CELL_PARAMETERS angstrom
4.9893 0.0000 0.0000
0.0000 4.9893 0.0000
0.0000 0.0000 4.9893
ATOMIC_POSITIONS angstrom
Ge 0.0000 0.0000 2.4947
Ge 0.0000 2.4947 0.0000
Ge 2.4947 0.0000 0.0000
P 0.0000 0.0000 0.0000
Br 2.4947 2.4947 2.4947
```

Summary:
- Formation energy (no corrections): 0.58 eV/atom
- Relative energy among the computed polymorphs: 0.000 kcal/mol of atoms
- Magnetic moment: 0.0 μB per formula unit



No. 10
Density functional theory data (PBE) for crystalline TaMo2As at its relaxed geometry. Values from VASP.

```
&SYSTEM
  ibrav = 0, nat = 4, ntyp = 3
/
ATOMIC_SPECIES
Ta 180.95 Ta.upf
Mo 95.94 Mo.upf
As 74.92 As.upf
CELL_PARAMETERS angstrom
3.2929 0.0000 0.0000
0.0000 3.2929 0.0000
0.0000 0.0000 6.0368
ATOMIC_POSITIONS angstrom
Ta 0.0000 0.0000 0.0000
Mo 0.0000 0.0000 2.9552
Mo 1.6465 1.6465 4.3032
As 1.6465 1.6465 1.3864
```

Summary:
- E_form: 20 meV/atom
- Magnetic moment: 0.0 μB per formula unit



No. 11
Density functional theory data (PBE) for crystalline BeNiAsBr2 at its relaxed geometry. Values from VASP.

```
&SYSTEM
  ibrav = 0, nat = 5, ntyp = 4
/
ATOMIC_SPECIES
Be 9.01 Be.upf
Ni 58.69 Ni.upf
As 74.92 As.upf
Br 79.90 Br.upf
CELL_PARAMETERS angstrom
4.9000 0.0000 0.0000
0.0000 4.9000 0.0000
0.0000 0.0000 4.2123
ATOMIC_POSITIONS angstrom
Be 0.0000 0.0000 0.0000
Ni 0.0000 0.0000 2.1062
As 2.4500 2.4500 0.0000
Br 0.0000 2.4500 2.1062
Br 2.4500 0.0000 2.1062
```

Summary:
- Formation energy (no corrections): 0.72 eV/atom
- Relative energy among the computed polymorphs: 1.641 kcal/mol of atoms
- Magnetic moment: 0.0 μB per formula unit



No. 12
Density functional theory data (PBE) for crystalline CaEr2O at its relaxed geometry. Values from VASP.

```
&SYSTEM
  ibrav = 0, nat = 4, ntyp = 3
/
ATOMIC_SPECIES
Ca 40.08 Ca.upf
Er 167.26 Er.upf
O 16.00 O.upf
CELL_PARAMETERS angstrom
1.7472 1.0087 9.2101
-1.7472 1.0087 9.2101
0.0000 -2.0175 9.2101
ATOMIC_POSITIONS angstrom
Ca 0.0000 0.0000 0.0000
Er 0.0000 0.0000 3.3121
Er 0.0000 0.0000 24.3183
O 0.0000 0.0000 13.8152
```

Summary:
- Formation energy (no corrections): -1.19 eV/atom
- Magnetic moment: 0.0 μB per formula unit